Entry 1:
## Sm3Dy3Te2Pt (PBE)

Data for Sm3Dy3Te2Pt after structural relaxation.

a = 8.559 Å, b = 8.559 Å, c = 3.948 Å
α = 90.00°, β = 90.00°, γ = 120.00°
Atoms (fractional coordinates):
Dy  0.596  0.000  0.000
Dy  0.404  0.404  0.000
Dy  0.000  0.596  0.000
Pt  0.000  0.000  0.000
Sm  0.249  0.000  0.500
Sm  0.000  0.249  0.500
Sm  0.751  0.751  0.500
Te  0.667  0.333  0.500
Te  0.333  0.667  0.500

Raw total energy, Ry/atom: -0.393
ΔE to the lowest computed polymorph, meV/atom: 74.1
Calculated volume, Å³/cell: 250

***

Entry 2:
## DySnPt (PBE)

Data for DySnPt after structural relaxation.

a = 8.213 Å, b = 8.213 Å, c = 3.392 Å
α = 90.00°, β = 90.00°, γ = 120.00°
Atoms (fractional coordinates):
Dy  0.295  0.000  0.000
Dy  0.000  0.295  0.000
Dy  0.705  0.705  0.000
Pt  0.646  0.000  0.500
Pt  0.354  0.354  0.500
Pt  0.000  0.646  0.500
Sn  0.667  0.333  0.000
Sn  0.333  0.667  0.000
Sn  0.000  0.000  0.500

Raw total energy, Ry/atom: -0.399
Calculated volume, Å³/cell: 198

***

Entry 3:
## DySnPt (PBE)

Data for DySnPt after structural relaxation.

a = 7.106 Å, b = 7.106 Å, c = 4.482 Å
α = 90.00°, β = 90.00°, γ = 120.00°
Atoms (fractional coordinates):
Dy  0.565  0.000  0.500
Dy  0.435  0.435  0.500
Dy  0.000  0.565  0.500
Pt  0.242  0.000  0.000
Pt  0.000  0.242  0.000
Pt  0.758  0.758  0.000
Sn  0.667  0.333  0.000
Sn  0.333  0.667  0.000
Sn  0.000  0.000  0.500

Raw total energy, Ry/atom: -0.426
Calculated volume, Å³/cell: 196

***

Entry 4:
## DySnPt (PBE)

Data for DySnPt after structural relaxation.

a = 7.486 Å, b = 7.486 Å, c = 4.037 Å
α = 90.00°, β = 90.00°, γ = 120.00°
Atoms (fractional coordinates):
Dy  0.594  0.000  0.500
Dy  0.406  0.406  0.500
Dy  0.000  0.594  0.500
Pt  0.667  0.333  0.000
Pt  0.333  0.667  0.000
Pt  0.000  0.000  0.500
Sn  0.258  0.000  0.000
Sn  0.000  0.258  0.000
Sn  0.742  0.742  0.000

Raw total energy, Ry/atom: -0.440
Calculated volume, Å³/cell: 196

***

Entry 5:
## Dy2TlSnPt4 (PBE)

Data for Dy2TlSnPt4 after structural relaxation.

a = 4.602 Å, b = 4.602 Å, c = 9.041 Å
α = 90.00°, β = 90.00°, γ = 120.00°
Atoms (fractional coordinates):
Dy  0.333  0.667  0.250
Dy  0.667  0.333  0.750
Pt  0.667  0.333  0.088
Pt  0.667  0.333  0.403
Pt  0.333  0.667  0.597
Pt  0.333  0.667  0.912
Sn  0.000  0.000  0.000
Tl  0.000  0.000  0.500

Raw total energy, Ry/atom: -0.430
Calculated volume, Å³/cell: 166

***

Entry 6:
## Dy2YSn3Pt3 (PBE)

Data for Dy2YSn3Pt3 after structural relaxation.

a = 4.022 Å, b = 7.518 Å, c = 7.518 Å
α = 120.09°, β = 90.00°, γ = 90.00°
Atoms (fractional coordinates):
Dy  0.000  0.406  0.000
Dy  0.000  0.000  0.406
Pt  0.000  0.001  0.001
Pt  0.500  0.667  0.332
Pt  0.500  0.332  0.667
Sn  0.500  0.259  0.259
Sn  0.500  0.000  0.741
Sn  0.500  0.741  0.000
Y  0.000  0.594  0.594

Raw total energy, Ry/atom: -0.455
Calculated volume, Å³/cell: 197